(1)
BaZn3Rh PBE-GGA relaxed; symmetry = P1; total moment = 0.00 μB/atom; formation energy = -0.268 eV per atom; offset from the most stable computed form = 89 meV per atom
1.0
6.290 0.000 0.000
3.145 5.854 0.000
0.004 3.597 6.033
Ba Zn Rh
2 6 2
Cartesian
0.000 0.000 0.000
3.154 4.984 3.833
1.637 2.803 0.475
1.350 2.185 3.112
4.654 2.804 0.476
6.289 4.899 0.268
6.300 4.712 2.846
4.947 2.179 3.110
3.146 1.144 1.618
6.293 6.769 4.524

(2)
AcEr2Ag PBE-GGA relaxed; symmetry = Fm-3m; total moment = 0.00 μB/atom; formation energy = 0.190 eV per atom; offset from the most stable computed form = 292 meV per atom
1.0
0.000 3.910 3.910
3.910 0.000 3.910
3.910 3.910 0.000
Ac Er Ag
1 2 1
Cartesian
0.000 0.000 0.000
1.955 1.955 1.955
5.865 5.865 5.865
3.910 3.910 3.910

(3)
ZnW PBE-GGA relaxed; symmetry = P-3m1; total moment = 0.00 μB/atom; formation energy = 0.264 eV per atom; offset from the most stable computed form = 102 meV per atom
1.0
2.796 0.000 0.000
-1.398 2.422 0.000
0.000 0.000 9.214
Zn W
2 2
Cartesian
0.000 1.614 3.516
1.398 0.807 5.698
0.000 1.614 8.002
1.398 0.807 1.212

(4)
Sr4YTe PBE-GGA relaxed; formation energy without anion corrections = 1.25 eV per formula unit; symmetry = F-43m; total moment = 0.15 μB/atom
1.0
0.000 5.124 5.124
5.124 0.000 5.124
5.124 5.124 0.000
Sr Y Te
4 1 1
Cartesian
3.850 3.850 3.850
6.398 6.398 3.850
6.398 3.850 6.398
3.850 6.398 6.398
7.686 7.686 7.686
0.000 0.000 0.000

(5)
SmEuNiRu PBE-GGA relaxed; symmetry = F-43m; total moment = 1.65 μB/atom; formation energy = -0.027 eV per atom
1.0
0.000 3.472 3.472
3.472 0.000 3.472
3.472 3.472 0.000
Sm Eu Ni Ru
1 1 1 1
Cartesian
0.000 0.000 0.000
3.472 3.472 3.472
5.208 5.208 5.208
1.736 1.736 1.736

(6)
ZrNbCu2Tc PBE-GGA relaxed; symmetry = P4/mmm; total moment = 0.00 μB/atom; formation energy = 1.188 eV per atom
1.0
4.623 0.000 0.000
0.000 4.623 0.000
0.000 0.000 4.707
Zr Nb Cu Tc
1 1 2 1
Cartesian
0.000 0.000 0.000
2.312 2.312 0.000
0.000 2.312 2.354
2.312 0.000 2.354
0.000 0.000 2.354